Entry 1:
{"formula": "Pa2BTe", "functional": "PBE", "state": "relaxed", "lattice": [[-3.126, 1.526, 1.700], [-1.741, -1.885, 2.899], [2.590, 3.249, 6.254]], "species": ["Pa", "Te", "B", "Pa"], "frac_coords": [[0.271, 0.271, 0.188], [0.500, 0.500, 0.500], [0.000, 0.000, 0.000], [0.729, 0.729, 0.812]], "density_g_cm3": 10.7, "e_form_raw_ev_per_fu": -1.96}

Entry 2:
{"formula": "NaCaTc2O8", "functional": "PBE", "state": "relaxed", "lattice": [[6.253, 0.053, 0.000], [-2.726, 5.627, 0.000], [-1.763, -2.840, 5.284]], "species": ["O", "Tc", "O", "Na", "Tc", "O", "O", "Ca", "O", "O", "O", "O"], "frac_coords": [[0.846, 0.655, 0.191], [0.750, 0.250, 0.500], [0.772, 0.087, 0.685], [0.000, 0.000, 0.000], [0.500, 0.500, 0.000], [0.345, 0.537, 0.191], [0.463, 0.655, 0.809], [0.250, 0.750, 0.500], [0.345, 0.154, 0.809], [0.913, 0.598, 0.685], [0.913, 0.228, 0.315], [0.402, 0.087, 0.315]], "density_g_cm3": 3.4, "e_form_raw_ev_per_fu": -21.54}